1.
Th2CoN PBE relaxed; space-group type = R3m; calculated density = 11136 kg/m3; formation energy without anion corrections = -0.5024 eV per atom
1.0
-0.813 -3.339 1.318
2.458 -2.728 -0.255
3.135 -0.258 6.419
Th Co N
2 1 1
Cartesian
2.440 -0.732 4.790
1.185 -1.588 1.848
4.214 -4.315 7.086
2.465 -3.111 3.918

---

2.
Pr3RuPb2 PBE relaxed; space-group type = C2/c; calculated density = 8696 kg/m3; DFT formation energy = -186 kJ/mol of formula units
1.0
-4.233 3.166 -3.349
-2.846 -7.384 -3.383
-1.627 -0.529 7.403
Pr Ru Pb
6 2 4
Cartesian
-2.004 -0.879 -1.869
-5.075 -3.339 -4.863
-1.119 -1.097 1.819
-5.121 -0.738 1.369
-3.586 -4.009 -0.698
-7.587 -3.650 -1.148
-2.776 -5.059 -3.045
-4.303 0.840 -3.688
-5.212 -1.412 -2.130
-2.676 1.448 0.443
-6.030 -6.195 0.228
-3.494 -3.335 2.800

---

3.
Tb6Dy3Tl PBE relaxed; space-group type = Cmc2_1; calculated density = 8797 kg/m3; DFT formation energy = 28 kJ/mol of formula units
1.0
6.299 0.000 0.000
0.000 10.980 -2.557
0.000 -4.943 10.133
Tb Dy Tl
12 6 2
Cartesian
0.345 5.016 4.460
3.494 3.228 5.884
2.139 0.657 7.917
5.288 7.570 2.408
1.976 10.713 -2.344
4.953 -0.363 6.483
1.804 6.400 1.093
5.125 -4.676 9.920
2.139 -1.533 5.168
5.288 5.380 -0.341
0.345 2.809 1.691
3.494 1.022 3.115
3.057 7.034 4.681
6.206 2.993 7.901
0.515 1.646 4.882
3.664 4.391 2.694
6.206 -0.997 2.895
3.057 3.044 -0.326
0.280 -2.506 8.190
3.430 8.543 -0.615